w) A geometry-optimized PaS2Cl structure. Source: the Alexandria database, functional PBE-GGA.

**Space-group type**: No. 63

```
PaS2Cl
1.0
3.855 0.002 0.000
-1.925 6.886 0.000
0.000 0.000 8.133
Cl S Pa
2 4 2
Cartesian
0.002 1.447 6.100
1.927 5.440 2.033
1.929 2.253 3.529
0.001 4.635 7.595
1.929 2.253 0.538
0.001 4.635 4.604
1.929 3.419 6.100
0.001 3.468 2.033
```


x) A geometry-optimized PaS2Cl structure. Source: the Alexandria database, functional PBE-GGA.

**Space-group type**: No. 166

```
PaS2Cl
1.0
-3.363 2.417 1.234
-3.161 0.899 -2.807
-5.148 -3.919 1.214
S Cl Pa
2 1 1
Cartesian
-9.009 -0.883 -0.120
-2.663 0.280 -0.239
-5.836 -0.301 -0.180
0.000 0.000 0.000
```


Stability check: which of them is least stable? x).


w) A geometry-optimized PaS2Cl structure. Source: the Alexandria database, functional PBE-GGA.

**Space-group type**: No. 8

```
PaS2Cl
1.0
-1.651 -2.066 4.517
1.957 -2.807 3.961
1.873 6.416 3.608
Pa S Cl
1 2 1
Cartesian
0.846 2.044 2.767
0.569 -1.424 5.593
1.101 -1.221 8.776
1.453 1.598 7.302
```


x) A geometry-optimized PaS2Cl structure. Source: the Alexandria database, functional PBE-GGA.

**Space-group type**: No. 160

```
PaS2Cl
1.0
4.422 0.000 0.000
2.211 3.830 0.000
2.211 1.277 6.952
S Cl Pa
2 1 1
Cartesian
2.211 1.277 6.113
2.211 1.277 1.054
4.422 2.553 2.914
4.422 2.553 0.348
```


Stability check: which of them is least stable? w).